1.
An optimized crystal structure of Pt2CS, computed with PBE.

Properties
- theoretical density (g/cm3) = 13.56
- relative energy among the computed polymorphs (meV per atom) = 844
- VASP energy (eV per atom) = -5.08

```
data_Pt2CS
_chemical_formula_sum 'Pt2 C1 S1'
_cell_length_a 4.221
_cell_length_b 4.221
_cell_length_c 4.221
_cell_angle_alpha 60.00
_cell_angle_beta 60.00
_cell_angle_gamma 60.00
_space_group_name_H-M_alt 'P 1'
_space_group_IT_number 1
_space_group_name_Hall 'P 1'
loop_
_atom_site_label
_atom_site_fract_x
_atom_site_fract_y
_atom_site_fract_z
Pt1 0.750 0.750 0.750
Pt2 0.250 0.250 0.250
C1 0.000 0.000 0.000
S1 0.500 0.500 0.500
```



2.
An optimized crystal structure of ThU8O18, computed with PBE.

Properties
- theoretical density (g/cm3) = 11.08
- VASP energy (eV per atom) = -10.26

```
data_ThU8O18
_chemical_formula_sum 'Th1 U8 O18'
_cell_length_a 6.669
_cell_length_b 6.670
_cell_length_c 8.611
_cell_angle_alpha 82.58
_cell_angle_beta 75.04
_cell_angle_gamma 80.41
_space_group_name_H-M_alt 'P 1'
_space_group_IT_number 1
_space_group_name_Hall 'P 1'
loop_
_atom_site_label
_atom_site_fract_x
_atom_site_fract_y
_atom_site_fract_z
U1 0.666 0.335 0.834
U2 0.556 0.113 0.275
U3 0.334 0.665 0.166
U4 0.889 0.776 0.947
U5 0.111 0.224 0.053
U6 0.224 0.444 0.612
U7 0.444 0.887 0.725
U8 0.776 0.556 0.388
O1 0.255 0.001 0.245
O2 0.029 0.556 0.137
O3 0.141 0.774 0.698
O4 0.417 0.334 0.083
O5 0.195 0.889 0.972
O6 0.805 0.111 0.028
O7 0.583 0.666 0.917
O8 0.360 0.223 0.807
O9 0.915 0.338 0.585
O10 0.745 0.999 0.755
O11 0.085 0.662 0.415
O12 0.859 0.226 0.302
O13 0.690 0.886 0.471
O14 0.310 0.114 0.529
O15 0.640 0.777 0.193
O16 0.527 0.554 0.640
O17 0.971 0.444 0.863
O18 0.473 0.446 0.360
Th1 0.000 0.000 0.500
```



3.
An optimized crystal structure of NdSmOsO6, computed with PBE.

Properties
- theoretical density (g/cm3) = 7.18
- VASP energy (eV per atom) = -7.90

```
data_NdSmOsO6
_chemical_formula_sum 'Nd2 Sm2 Os2 O12'
_cell_length_a 5.626
_cell_length_b 5.626
_cell_length_c 9.797
_cell_angle_alpha 90.00
_cell_angle_beta 90.00
_cell_angle_gamma 120.00
_space_group_name_H-M_alt 'P 1'
_space_group_IT_number 1
_space_group_name_Hall 'P 1'
loop_
_atom_site_label
_atom_site_fract_x
_atom_site_fract_y
_atom_site_fract_z
O1 0.949 0.327 0.137
O2 0.378 0.051 0.137
O3 0.378 0.327 0.363
O4 0.051 0.378 0.637
O5 0.622 0.673 0.637
O6 0.673 0.051 0.363
O7 0.327 0.378 0.863
O8 0.051 0.673 0.863
O9 0.949 0.622 0.363
O10 0.673 0.622 0.137
O11 0.622 0.949 0.863
O12 0.327 0.949 0.637
Nd1 0.000 0.000 0.000
Nd2 0.000 0.000 0.500
Sm1 0.333 0.667 0.250
Sm2 0.667 0.333 0.750
Os1 0.667 0.333 0.250
Os2 0.333 0.667 0.750
```



4.
An optimized crystal structure of Pu7SbRh5, computed with PBE.

Properties
- theoretical density (g/cm3) = 13.90
- VASP energy (eV per atom) = -11.17

```
data_Pu7SbRh5
_chemical_formula_sum 'Pu7 Sb1 Rh5'
_cell_length_a 5.723
_cell_length_b 7.557
_cell_length_c 7.557
_cell_angle_alpha 81.85
_cell_angle_beta 67.75
_cell_angle_gamma 67.75
_space_group_name_H-M_alt 'P 1'
_space_group_IT_number 1
_space_group_name_Hall 'P 1'
loop_
_atom_site_label
_atom_site_fract_x
_atom_site_fract_y
_atom_site_fract_z
Rh1 0.001 0.004 0.484
Rh2 0.771 0.729 0.729
Rh3 0.001 0.484 0.004
Rh4 0.511 0.004 0.484
Rh5 0.511 0.484 0.004
Pu1 0.003 0.321 0.672
Pu2 0.320 0.180 0.180
Pu3 0.623 0.377 0.377
Pu4 0.528 0.812 0.133
Pu5 0.003 0.672 0.321
Pu6 0.528 0.133 0.812
Pu7 0.258 0.742 0.742
Sb1 0.943 0.057 0.057
```



5.
An optimized crystal structure of Sr2BiRuO6, computed with PBE.

Properties
- theoretical density (g/cm3) = 6.57
- VASP energy (eV per atom) = -6.45

```
data_Sr2BiRuO6
_chemical_formula_sum 'Sr4 Bi2 Ru2 O12'
_cell_length_a 5.847
_cell_length_b 6.019
_cell_length_c 8.351
_cell_angle_alpha 90.00
_cell_angle_beta 90.48
_cell_angle_gamma 90.00
_space_group_name_H-M_alt 'P 1'
_space_group_IT_number 1
_space_group_name_Hall 'P 1'
loop_
_atom_site_label
_atom_site_fract_x
_atom_site_fract_y
_atom_site_fract_z
O1 0.724 0.314 0.955
O2 0.592 0.034 0.272
O3 0.092 0.466 0.772
O4 0.181 0.226 0.053
O5 0.819 0.774 0.947
O6 0.408 0.966 0.728
O7 0.224 0.186 0.455
O8 0.276 0.686 0.045
O9 0.681 0.274 0.553
O10 0.776 0.814 0.545
O11 0.908 0.534 0.228
O12 0.319 0.726 0.447
Sr1 0.013 0.951 0.250
Sr2 0.987 0.049 0.750
Sr3 0.487 0.451 0.250
Sr4 0.513 0.549 0.750
Ru1 0.500 0.000 0.500
Ru2 0.000 0.500 0.000
Bi1 0.000 0.500 0.500
Bi2 0.500 0.000 0.000
```



6.
An optimized crystal structure of CoIrS2, computed with PBE.

Properties
- theoretical density (g/cm3) = 7.22
- relative energy among the computed polymorphs (meV per atom) = 159
- VASP energy (eV per atom) = -6.03

```
data_CoIrS2
_chemical_formula_sum 'Co1 Ir1 S2'
_cell_length_a 7.052
_cell_length_b 7.052
_cell_length_c 7.052
_cell_angle_alpha 28.92
_cell_angle_beta 28.92
_cell_angle_gamma 28.92
_space_group_name_H-M_alt 'P 1'
_space_group_IT_number 1
_space_group_name_Hall 'P 1'
loop_
_atom_site_label
_atom_site_fract_x
_atom_site_fract_y
_atom_site_fract_z
S1 0.894 0.894 0.894
S2 0.106 0.106 0.106
Ir1 0.500 0.500 0.500
Co1 0.000 0.000 0.000
```



> Which value of theoretical density does entry 4 give?

13.90 g/cm3



> Which value of theoretical density does entry 3 give?

7.18 g/cm3



> The highest VASP energy belongs to which entry?

Pt2CS



> Which formula does entry 5 have?

Sr2BiRuO6